Entry 1:
A relaxed structure of YAsOs2. Source: Alexandria via LeMat-Bulk, functional PBE-GGA.

Unit cell a=8.265 b=8.265 c=8.265 alpha=22.47 beta=22.47 gamma=22.47
Fractional positions:
As1 0.750 0.750 0.750
Y1 0.250 0.250 0.250
Os1 0.488 0.488 0.488
Os2 0.012 0.012 0.012

Values from the calculation:
As for the energy of formation: 45.3 kJ per mole of atoms. The value obtained for the magnetic moment is 0.00 Bohr magnetons per cell. The calculation puts the total DFT energy (no corrections) at -31.7 eV/cell.



Entry 2:
A relaxed structure of Tl3HgPb. Source: Alexandria via LeMat-Bulk, functional PBE-GGA.

Unit cell a=6.174 b=7.348 c=7.348 alpha=81.69 beta=90.00 gamma=90.00
Fractional positions:
Tl1 0.250 0.089 0.379
Tl2 0.000 0.000 0.000
Tl3 0.750 0.911 0.621
Tl4 0.750 0.379 0.089
Tl5 0.250 0.621 0.911
Tl6 0.500 0.000 0.000
Hg1 0.250 0.297 0.703
Hg2 0.750 0.703 0.297
Pb1 0.250 0.632 0.368
Pb2 0.750 0.368 0.632

Values from the calculation:
As for the energy of formation: 11.3 kJ per mole of atoms. The value obtained for the magnetic moment is 0.00 Bohr magnetons per cell. The calculation puts the total DFT energy (no corrections) at -21.0 eV/cell. Its energy relative to the lowest polymorph listed for this composition is 0.043 eV/atom.



Entry 3:
A relaxed structure of TlIn2FeSb. Source: Alexandria via LeMat-Bulk, functional PBE-GGA.

Unit cell a=5.129 b=5.129 c=4.994 alpha=90.00 beta=90.00 gamma=90.00
Site moments in Bohr magnetons follow the coordinates.
Fractional positions:
In1 0.500 0.000 0.000  -0.04
In2 0.000 0.500 0.000  -0.04
Tl1 0.500 0.500 0.500  0.04
Sb1 0.000 0.000 0.500  0.03
Fe1 0.000 0.000 0.000  1.68

Values from the calculation:
The value obtained for the magnetic moment is 1.78 Bohr magnetons per cell. The calculation puts the total DFT energy (no corrections) at -19.7 eV/cell.



Entry 4:
A relaxed structure of LaCdS2Cl. Source: Alexandria via LeMat-Bulk, functional PBE-GGA.

Unit cell a=5.587 b=5.587 c=5.446 alpha=90.00 beta=90.00 gamma=90.00
Fractional positions:
S1 0.000 0.500 0.000
S2 0.500 0.000 0.000
Cd1 0.500 0.500 0.500
Cl1 0.000 0.000 0.500
La1 0.000 0.000 0.000

Values from the calculation:
The value obtained for the magnetic moment is 0.00 Bohr magnetons per cell. The calculation puts the total DFT energy (no corrections) at -20.0 eV/cell. Its energy relative to the lowest polymorph listed for this composition is 0.144 eV/atom.



Entry 5:
A relaxed structure of Ta2Fe. Source: Alexandria via LeMat-Bulk, functional PBE-GGA.

Unit cell a=5.372 b=5.372 c=8.620 alpha=90.00 beta=90.00 gamma=60.00
Site moments in Bohr magnetons follow the coordinates.
Fractional positions:
Ta1 0.660 0.170 0.250  -0.08
Ta2 0.170 0.170 0.250  -0.08
Ta3 0.830 0.340 0.750  -0.08
Ta4 0.000 0.000 0.000  0.03
Ta5 0.170 0.660 0.250  -0.08
Ta6 0.340 0.830 0.750  -0.08
Ta7 0.000 0.000 0.500  0.03
Ta8 0.830 0.830 0.750  -0.08
Fe1 0.667 0.667 0.438  2.84
Fe2 0.333 0.333 0.562  2.84
Fe3 0.667 0.667 0.062  2.84
Fe4 0.333 0.333 0.938  2.84

Values from the calculation:
As for the energy of formation: 67.3 kJ per mole of atoms. The value obtained for the magnetic moment is 10.24 Bohr magnetons per cell. The calculation puts the total DFT energy (no corrections) at -120.3 eV/cell.



Entry 6:
A relaxed structure of AlTcSb2. Source: Alexandria via LeMat-Bulk, functional PBE-GGA.

Unit cell a=4.748 b=4.748 c=6.461 alpha=76.09 beta=76.09 gamma=40.76
Fractional positions:
Al1 0.223 0.223 0.345
Sb1 0.995 0.995 0.073
Sb2 0.787 0.787 0.681
Tc1 0.496 0.496 0.402

Values from the calculation:
The value obtained for the magnetic moment is 0.00 Bohr magnetons per cell. The calculation puts the total DFT energy (no corrections) at -22.1 eV/cell.



Q: Which value of magnetic moment does entry 6 give?
A: 0.00 Bohr magnetons per cell



What did the first record say?
A relaxed structure of YAsOs2. Source: Alexandria via LeMat-Bulk, functional PBE-GGA.

Unit cell a=8.265 b=8.265 c=8.265 alpha=22.47 beta=22.47 gamma=22.47
Fractional positions:
As1 0.750 0.750 0.750
Y1 0.250 0.250 0.250
Os1 0.488 0.488 0.488
Os2 0.012 0.012 0.012

Values from the calculation:
As for the energy of formation: 45.3 kJ per mole of atoms. The value obtained for the magnetic moment is 0.00 Bohr magnetons per cell. The calculation puts the total DFT energy (no corrections) at -31.7 eV/cell.



Q: Which formula does entry 3 have?
A: TlIn2FeSb